(1)
Here is a geometry-optimized Cs2HoNp2Te6 structure from Alexandria via LeMat-Bulk. Energies are from PBE.

Cell: 7.739 7.739 9.512 Å, 97.79 97.79 120.00°
Fractional coordinates of all 11 atoms:
Cs  0.166  0.834  0.000
Cs  0.834  0.166  0.000
Ho  0.000  0.000  0.500
Np  0.333  0.667  0.500
Np  0.667  0.333  0.500
Te  0.064  0.396  0.687
Te  0.272  0.272  0.313
Te  0.396  0.064  0.687
Te  0.604  0.936  0.313
Te  0.728  0.728  0.687
Te  0.936  0.604  0.313

Total magnetization (μB per formula unit): 7.0
Formation energy (no corrections) (kJ/mol of formula units): -1067
Calculated total energy (eV/cell): -62.08

***

(2)
Here is a geometry-optimized Si2Te structure from Alexandria via LeMat-Bulk. Energies are from PBE.

Cell: 6.462 6.462 7.213 Å, 90.00 90.00 120.00°
Fractional coordinates of all 12 atoms:
Si  0.000  0.000  0.000
Si  0.000  0.000  0.500
Si  0.152  0.304  0.250
Si  0.152  0.848  0.250
Si  0.304  0.152  0.750
Si  0.696  0.848  0.250
Si  0.848  0.152  0.750
Si  0.848  0.696  0.750
Te  0.333  0.667  0.515
Te  0.333  0.667  0.985
Te  0.667  0.333  0.015
Te  0.667  0.333  0.485

Total magnetization (μB per formula unit): 0.0
Formation energy (no corrections) (kJ/mol of formula units): 161
Calculated total energy (eV/cell): -49.29

***

(3)
Here is a geometry-optimized Pr2Ag17 structure from Alexandria via LeMat-Bulk. Energies are from PBE.

Cell: 7.341 7.341 7.341 Å, 82.26 82.26 82.26°
Fractional coordinates of all 19 atoms:
Pr  0.157  0.157  0.157
Pr  0.843  0.843  0.843
Ag  0.000  0.500  0.500
Ag  0.149  0.149  0.656
Ag  0.149  0.656  0.149
Ag  0.199  0.500  0.801
Ag  0.199  0.801  0.500
Ag  0.344  0.851  0.851
Ag  0.400  0.400  0.400
Ag  0.500  0.000  0.500
Ag  0.500  0.199  0.801
Ag  0.500  0.500  0.000
Ag  0.500  0.801  0.199
Ag  0.600  0.600  0.600
Ag  0.656  0.149  0.149
Ag  0.801  0.199  0.500
Ag  0.801  0.500  0.199
Ag  0.851  0.344  0.851
Ag  0.851  0.851  0.344

Total magnetization (μB per formula unit): 0.0
Calculated total energy (eV/cell): -59.26

***

(4)
Here is a geometry-optimized NaSrAl2H8 structure from Alexandria via LeMat-Bulk. Energies are from PBE.

Cell: 4.895 4.895 8.311 Å, 90.00 90.00 120.00°
Fractional coordinates of all 12 atoms:
Na  0.000  0.000  0.000
Sr  0.000  0.000  0.500
Al  0.333  0.667  0.731
Al  0.667  0.333  0.269
H  0.146  0.291  0.761
H  0.146  0.854  0.761
H  0.291  0.146  0.239
H  0.333  0.667  0.520
H  0.667  0.333  0.480
H  0.709  0.854  0.761
H  0.854  0.146  0.239
H  0.854  0.709  0.239

Total magnetization (μB per formula unit): 0.1
Calculated total energy (eV/cell): -38.72